Entry 1:
A geometry-optimized ScInH structure. Source: Alexandria via LeMat-Bulk, functional PBE.

N(E_F) ... 1.5 states/eV/f.u.
Final energy ... -4.573 eV per atom
Symmetry ... No. 129

Cell lengths 3.3945, 3.3945, 8.4876 Å; angles 90.00, 90.00, 90.00 degrees
Closest atoms and distances in Å follow each position.
Element x y z (fractional)
Sc: 0.2500 0.2500 0.1373  4 H 2.06
Sc: 0.7500 0.7500 0.8627  4 H 2.06
In: 0.2500 0.2500 0.6339  4 Sc 3.09, 8 In 3.31-3.39
In: 0.7500 0.7500 0.3661  4 Sc 3.09, 8 In 3.31-3.39
H: 0.2500 0.7500 0.0000  4 Sc 2.06
H: 0.7500 0.2500 0.0000  4 Sc 2.06



Entry 2:
A geometry-optimized CuPbAu2 structure. Source: Alexandria via LeMat-Bulk, functional PBE.

N(E_F) ... 1.5 states/eV/f.u.
Formation energy ... 0.386 eV per atom
Symmetry ... No. 122

Cell lengths 7.4335, 7.4335, 7.4335 Å; angles 130.91, 130.91, 71.96 degrees
Closest atoms and distances in Å follow each position.
Element x y z (fractional)
Cu: 0.0000 0.0000 0.0000  4 Au 2.50
Cu: 0.7500 0.2500 0.5000  4 Au 2.50
Pb: 0.2500 0.7500 0.5000  4 Au 2.83
Pb: 0.5000 0.5000 0.0000  4 Au 2.83
Au: 0.0788 0.6250 0.9538  2 Cu 2.50
Au: 0.3750 0.3288 0.4538  2 Cu 2.50
Au: 0.6712 0.1250 0.0462  2 Cu 2.50
Au: 0.8750 0.9212 0.5462  2 Cu 2.50



Entry 3:
A geometry-optimized Ac2ScC2N6 structure. Source: Alexandria via LeMat-Bulk, functional PBE.

N(E_F) ... 3.9 states/eV/f.u.
Raw formation energy ... -0.80 eV/atom
Symmetry ... No. 164

Cell lengths 5.5225, 5.5225, 5.5943 Å; angles 90.00, 90.00, 120.00 degrees
Closest atoms and distances in Å follow each position.
Element x y z (fractional)
Ac: 0.3333 0.6667 0.2849  9 N 2.79-3.07, 2 C 2.79-2.80
Ac: 0.6667 0.3333 0.7151  9 N 2.79-3.07, 2 C 2.79-2.80
Sc: 0.0000 0.0000 0.0000  6 N 2.21
C: 0.3333 0.6667 0.7845  3 N 1.36
C: 0.6667 0.3333 0.2155  3 N 1.36
N: 0.1911 0.3822 0.7774  1 C 1.36
N: 0.1911 0.8089 0.7774  1 C 1.36
N: 0.3822 0.1911 0.2226  1 C 1.36
N: 0.6178 0.8089 0.7774  1 C 1.36
N: 0.8089 0.1911 0.2226  1 C 1.36
N: 0.8089 0.6178 0.2226  1 C 1.36



Entry 4:
A geometry-optimized P2RhCl structure. Source: Alexandria via LeMat-Bulk, functional PBE.

N(E_F) ... 1.2 states/eV/f.u.
Raw formation energy ... 0.23 eV/atom
Symmetry ... No. 139

Cell lengths 4.3191, 4.3191, 4.3191 Å; angles 110.27, 110.27, 107.88 degrees
Closest atoms and distances in Å follow each position.
Element x y z (fractional)
P: 0.0000 0.5000 0.5000  2 Cl 2.47, 2 Rh 2.47, 2 P 2.54
P: 0.5000 0.0000 0.5000  2 Cl 2.47, 2 Rh 2.47, 2 P 2.54
Rh: 0.0000 0.0000 0.0000  4 P 2.47, 2 Cl 2.54
Cl: 0.5000 0.5000 0.0000  4 P 2.47, 2 Rh 2.54